VASP calculation (GGA-PBE) on Ca2YIr after structural relaxation.

## Properties
Offset from the most stable computed form: 15 kJ/mol of formula units
ρ: 4.81 Mg/m³
Fermi-level density of states: 4.90 states/eV per cell
Energy of formation: -0.28 eV/atom

```
data_Ca2YIr
_chemical_formula_sum 'Ca4 Y2 Ir2'
_symmetry_space_group_name_H-M 'C 1 m 1'
_symmetry_Int_Tables_number 8
_cell_length_a 10.042
_cell_length_b 3.818
_cell_length_c 7.069
_cell_angle_alpha 90.00
_cell_angle_beta 112.86
_cell_angle_gamma 90.00
loop_
_symmetry_equiv_pos_as_xyz
'x,y,z'
'x,-y,z'
'x+1/2,y+1/2,z'
'x+1/2,-y+1/2,z'
loop_
_atom_site_label
_atom_site_fract_x
_atom_site_fract_y
_atom_site_fract_z
Ca1 0.000 0.000 0.000
Ca2 0.175 0.000 0.646
Y1 0.318 0.500 0.320
Ir1 0.029 0.500 0.321
```


VASP calculation (GGA-PBE) on Tm2ZnGe2Ir5 after structural relaxation.

## Properties
ρ: 15.02 Mg/m³
Fermi-level density of states: 3.36 states/eV per cell
Energy of formation: -0.61 eV/atom

```
data_Tm2ZnGe2Ir5
_chemical_formula_sum 'Tm4 Zn2 Ge4 Ir10'
_symmetry_space_group_name_H-M 'P 4/m b m'
_symmetry_Int_Tables_number 127
_symmetry_space_group_name_Hall '-P 4 2ab'
_cell_length_a 9.640
_cell_length_b 9.640
_cell_length_c 3.593
_cell_angle_alpha 90.00
_cell_angle_beta 90.00
_cell_angle_gamma 90.00
loop_
_atom_site_label
_atom_site_fract_x
_atom_site_fract_y
_atom_site_fract_z
Tm1 0.173 0.327 0.000
Zn1 0.000 0.000 0.000
Ge1 0.128 0.628 0.000
Ir1 0.000 0.500 0.500
Ir2 0.065 0.796 0.500
```


| no. | total magnetic moment (μB per cell) |
| --- | --- |
| 1 | 0.0 |
| 2 | 0.0 |